The following is a DFT calculation (GGA+U) of a geometry-optimized Ba2ZnCo3F12 structure.

Lattice parameters (Å, degrees): 7.2549 7.2549 7.2549 59.70 59.70 59.70
Positions (direct):
Ba 0.1238 0.1238 0.1238
Ba 0.8762 0.8762 0.8762
Zn 0.5000 0.5000 0.5000
Co 0.0000 0.5000 0.5000
Co 0.5000 0.0000 0.5000
Co 0.5000 0.5000 0.0000
F 0.1554 0.1554 0.5946
F 0.1554 0.5946 0.1554
F 0.1567 0.5923 0.5923
F 0.4054 0.8446 0.8446
F 0.4077 0.4077 0.8433
F 0.4077 0.8433 0.4077
F 0.5923 0.1567 0.5923
F 0.5923 0.5923 0.1567
F 0.5946 0.1554 0.1554
F 0.8433 0.4077 0.4077
F 0.8446 0.4054 0.8446
F 0.8446 0.8446 0.4054

## Properties
- density of states at the Fermi level (states/eV/f.u.) = 0.00
- VASP energy (eV per cell) = -90.2
- total magnetic moment (μB per formula unit) = 9.0
- space-group type = No. 166
- volume (Å³/atom) = 14.90